The following is a PBE-GGA calculation of a geometry-optimized CaCdSe structure, from Alexandria via LeMat-Bulk. Values from VASP.

Output
Magnetization, μB per atom: 0.000
ρ, Mg/m³: 4.055
ΔE to the lowest computed polymorph, meV/atom: 283
ΔE_f (raw), meV/atom: -679

The structure in Quantum ESPRESSO input format:
```
&SYSTEM
  ibrav = 0, nat = 12, ntyp = 3
/
ATOMIC_SPECIES
Ca 40.08 Ca.upf
Cd 112.41 Cd.upf
Se 78.96 Se.upf
CELL_PARAMETERS angstrom
7.237 0.000 0.000
0.000 7.237 0.000
0.000 0.000 7.237
ATOMIC_POSITIONS angstrom
Ca 0.000 0.000 0.000
Ca 0.000 3.619 3.619
Ca 3.619 0.000 3.619
Ca 3.619 3.619 0.000
Cd 0.000 0.000 3.619
Cd 0.000 3.619 0.000
Cd 3.619 0.000 0.000
Cd 3.619 3.619 3.619
Se 1.809 1.809 5.428
Se 1.809 5.428 1.809
Se 5.428 1.809 1.809
Se 5.428 5.428 5.428
```